1.
Compound: Sm2AlInCu6
Source: Alexandria via LeMat-Bulk
Functional: GGA-PBE
Structure: optimized geometry Values from VASP.

Geometry as Quantum ESPRESSO input:
```
&SYSTEM
  ibrav = 0, nat = 10, ntyp = 4
/
ATOMIC_SPECIES
Sm 150.36 Sm.upf
Al 26.98 Al.upf
In 114.82 In.upf
Cu 63.55 Cu.upf
ATOMIC_POSITIONS angstrom
Sm -0.0190 -0.2790 1.7400
Sm 2.1552 3.1824 3.8249
Al 2.6329 0.0000 0.0000
In -1.0050 3.0426 0.0000
Cu -0.5281 2.3670 2.8250
Cu 0.4813 0.7905 4.6740
Cu 1.5260 -1.3793 3.9123
Cu 0.6101 4.2827 1.6525
Cu 1.6548 2.1129 0.8909
Cu 2.6642 0.5364 2.7398
CELL_PARAMETERS angstrom
5.2657 0.0000 0.0000
-2.0100 6.0852 0.0000
-1.1196 -3.1818 5.5648
```

## Properties
Crystal system ... triclinic

---

2.
Compound: SrAl2InCu
Source: Alexandria via LeMat-Bulk
Functional: GGA-PBE
Structure: optimized geometry Values from VASP.

Geometry as Quantum ESPRESSO input:
```
&SYSTEM
  ibrav = 0, nat = 5, ntyp = 4
/
ATOMIC_SPECIES
Sr 87.62 Sr.upf
Al 26.98 Al.upf
In 114.82 In.upf
Cu 63.55 Cu.upf
ATOMIC_POSITIONS angstrom
Sr 0.0000 0.0000 0.0000
Al 0.0000 2.6780 2.4579
Al 2.6780 0.0000 2.4579
In 2.6780 2.6780 2.4579
Cu 2.6780 2.6780 0.0000
CELL_PARAMETERS angstrom
5.3560 0.0000 0.0000
0.0000 5.3560 0.0000
0.0000 0.0000 4.9158
```

## Properties
Crystal system ... tetragonal

---

3.
Compound: TaAl2InCu
Source: Alexandria via LeMat-Bulk
Functional: GGA-PBE
Structure: optimized geometry Values from VASP.

Geometry as Quantum ESPRESSO input:
```
&SYSTEM
  ibrav = 0, nat = 5, ntyp = 4
/
ATOMIC_SPECIES
Ta 180.95 Ta.upf
Al 26.98 Al.upf
In 114.82 In.upf
Cu 63.55 Cu.upf
ATOMIC_POSITIONS angstrom
Ta 0.0000 0.0000 0.0000
Al 0.0000 2.5155 0.0000
Al 2.5155 0.0000 0.0000
In 0.0000 0.0000 2.6689
Cu 2.5155 2.5155 2.6689
CELL_PARAMETERS angstrom
5.0310 0.0000 0.0000
0.0000 5.0310 0.0000
0.0000 0.0000 5.3379
```

## Properties
Crystal system ... tetragonal

---

4.
Compound: Th2Al3InCu4
Source: Alexandria via LeMat-Bulk
Functional: GGA-PBE
Structure: optimized geometry Values from VASP.

Geometry as Quantum ESPRESSO input:
```
&SYSTEM
  ibrav = 0, nat = 10, ntyp = 4
/
ATOMIC_SPECIES
Th 232.04 Th.upf
Al 26.98 Al.upf
In 114.82 In.upf
Cu 63.55 Cu.upf
ATOMIC_POSITIONS angstrom
Th 0.0000 2.1466 2.3839
Th 2.1466 0.0000 7.8985
Al 0.0000 2.1466 9.0441
Al 2.1466 0.0000 1.2383
Al 2.1466 2.1466 5.1412
In 0.0000 0.0000 5.1412
Cu 0.0000 0.0000 0.0000
Cu 0.0000 2.1466 6.6319
Cu 2.1466 0.0000 3.6505
Cu 2.1466 2.1466 0.0000
CELL_PARAMETERS angstrom
4.2933 0.0000 0.0000
0.0000 4.2933 0.0000
0.0000 0.0000 10.2824
```

## Properties
Crystal system ... tetragonal

---

5.
Compound: AlZnInCu2
Source: Alexandria via LeMat-Bulk
Functional: GGA-PBE
Structure: optimized geometry Values from VASP.

Geometry as Quantum ESPRESSO input:
```
&SYSTEM
  ibrav = 0, nat = 5, ntyp = 4
/
ATOMIC_SPECIES
Al 26.98 Al.upf
Zn 65.41 Zn.upf
In 114.82 In.upf
Cu 63.55 Cu.upf
ATOMIC_POSITIONS angstrom
Al 0.0000 0.0000 0.0000
Zn 2.4534 2.4534 0.0000
In 2.4534 2.4534 2.4791
Cu 0.0000 2.4534 2.4791
Cu 2.4534 0.0000 2.4791
CELL_PARAMETERS angstrom
4.9068 0.0000 0.0000
0.0000 4.9068 0.0000
0.0000 0.0000 4.9581
```

## Properties
Crystal system ... tetragonal

---

6.
Compound: Al2Cu2Ir
Source: Alexandria via LeMat-Bulk
Functional: GGA-PBE
Structure: optimized geometry Values from VASP.

Geometry as Quantum ESPRESSO input:
```
&SYSTEM
  ibrav = 0, nat = 5, ntyp = 3
/
ATOMIC_SPECIES
Al 26.98 Al.upf
Cu 63.55 Cu.upf
Ir 192.22 Ir.upf
ATOMIC_POSITIONS angstrom
Al 1.2598 0.0000 0.5857
Al 3.9430 0.0000 3.6140
Cu 1.4468 0.0000 3.0057
Cu 3.7560 0.0000 1.1940
Ir -1.0231 0.0000 2.0999
CELL_PARAMETERS angstrom
3.6245 -2.2057 0.0000
3.6245 2.2057 0.0000
-2.0462 0.0000 4.1997
```

## Properties
ΔE to the lowest computed polymorph ... 0.000 eV/atom
Crystal system ... monoclinic

---

7.
Compound: Al2CuIr
Source: Alexandria via LeMat-Bulk
Functional: GGA-PBE
Structure: optimized geometry Values from VASP.

Geometry as Quantum ESPRESSO input:
```
&SYSTEM
  ibrav = 0, nat = 4, ntyp = 3
/
ATOMIC_SPECIES
Al 26.98 Al.upf
Cu 63.55 Cu.upf
Ir 192.22 Ir.upf
ATOMIC_POSITIONS angstrom
Al 0.0000 0.0000 0.0000
Al 0.0000 1.8374 2.0277
Cu 0.0000 0.0000 4.0554
Ir 1.8374 0.0000 2.0277
CELL_PARAMETERS angstrom
-1.8374 1.8374 4.0554
1.8374 -1.8374 4.0554
1.8374 1.8374 -4.0554
```

## Properties
Crystal system ... tetragonal

---

8.
Compound: AlCuIr
Source: Alexandria via LeMat-Bulk
Functional: GGA-PBE
Structure: optimized geometry Values from VASP.

Geometry as Quantum ESPRESSO input:
```
&SYSTEM
  ibrav = 0, nat = 3, ntyp = 3
/
ATOMIC_SPECIES
Al 26.98 Al.upf
Cu 63.55 Cu.upf
Ir 192.22 Ir.upf
ATOMIC_POSITIONS angstrom
Al 0.0000 0.0000 0.0000
Cu 2.9092 2.9092 2.9092
Ir 4.3638 4.3638 4.3638
CELL_PARAMETERS angstrom
0.0000 2.9092 2.9092
2.9092 0.0000 2.9092
2.9092 2.9092 0.0000
```

## Properties
ΔE to the lowest computed polymorph ... 0.287 eV/atom
Crystal system ... cubic

---

9.
Compound: AlCuIr3
Source: Alexandria via LeMat-Bulk
Functional: GGA-PBE
Structure: optimized geometry Values from VASP.

Geometry as Quantum ESPRESSO input:
```
&SYSTEM
  ibrav = 0, nat = 5, ntyp = 3
/
ATOMIC_SPECIES
Al 26.98 Al.upf
Cu 63.55 Cu.upf
Ir 192.22 Ir.upf
ATOMIC_POSITIONS angstrom
Al 0.0000 0.0000 0.0000
Cu 2.2255 2.2255 2.2255
Ir 0.0000 2.2255 2.2255
Ir 2.2255 0.0000 2.2255
Ir 2.2255 2.2255 0.0000
CELL_PARAMETERS angstrom
4.4510 0.0000 0.0000
0.0000 4.4510 0.0000
0.0000 0.0000 4.4510
```

## Properties
ΔE to the lowest computed polymorph ... 0.112 eV/atom
Crystal system ... cubic

---

10.
Compound: AlCu2Ir
Source: Alexandria via LeMat-Bulk
Functional: GGA-PBE
Structure: optimized geometry Values from VASP.

Geometry as Quantum ESPRESSO input:
```
&SYSTEM
  ibrav = 0, nat = 4, ntyp = 3
/
ATOMIC_SPECIES
Al 26.98 Al.upf
Cu 63.55 Cu.upf
Ir 192.22 Ir.upf
ATOMIC_POSITIONS angstrom
Al 0.0000 0.0000 0.0000
Cu 1.2818 1.8143 1.4319
Cu 1.2818 -1.8143 1.4319
Ir 2.5636 0.0000 0.0000
CELL_PARAMETERS angstrom
2.5636 -3.6287 0.0000
2.5636 3.6287 0.0000
0.0000 0.0000 2.8638
```

## Properties
Crystal system ... orthorhombic

---

no.,electronic total energy (eV/f.u.),ΔE_f (eV/atom),V (Å³/f.u.)
1,-41.867,-0.1370,178.3
2,-14.039,0.3925,141.0
3,-20.419,1.1507,135.1
4,-48.713,-0.3522,189.5
5,-11.881,0.8132,119.4
6,-25.865,-0.2653,67.1
7,-22.689,-0.5617,54.8
8,-17.104,-0.1348,49.2
9,-27.786,1.3271,88.2
10,-21.466,-0.1676,53.3